[1]
VASP calculation (PBE-GGA) on a geometry-optimized CoRe2Pb structure. Values from VASP.

Output
volume: 64.96 Å³ per cell
ΔE_f: 0.68 eV per atom

```
&SYSTEM
  ibrav = 0, nat = 4, ntyp = 3
/
ATOMIC_SPECIES
Re 186.21 Re.upf
Co 58.93 Co.upf
Pb 207.20 Pb.upf
CELL_PARAMETERS angstrom
-1.3702 3.6915 -2.8260
-2.7124 1.2041 -3.8320
-4.0746 1.3295 2.1493
ATOMIC_POSITIONS angstrom
Re -3.9544 1.3520 1.9335
Re -4.1987 3.0901 -2.0386
Co -6.1178 4.6689 -3.3815
Pb -2.0393 1.5563 -1.1272
```

=====

[2]
VASP calculation (PBE-GGA) on a geometry-optimized Ac3Sb2Rh4 structure. Values from VASP.

Output
volume: 221.25 Å³ per cell
energy relative to the elements, uncorrected: -671 kJ/mol of formula units
energy relative to the lowest polymorph listed for this composition: 0 meV/atom

```
&SYSTEM
  ibrav = 0, nat = 9, ntyp = 3
/
ATOMIC_SPECIES
Ac 227.00 Ac.upf
Sb 121.76 Sb.upf
Rh 102.91 Rh.upf
CELL_PARAMETERS angstrom
4.5413 0.0000 0.0000
-2.2706 5.3398 -1.1239
0.0000 0.7234 8.9715
ATOMIC_POSITIONS angstrom
Ac 0.0000 4.4791 4.6977
Ac 0.0000 0.0000 0.0000
Sb 0.0000 3.6032 1.1932
Rh 2.2706 2.4578 0.2764
Rh 0.0000 1.3885 5.4964
Rh 2.2706 4.6747 2.3513
Ac 2.2706 1.5841 3.1500
Sb 2.2706 2.4601 6.6545
Rh 0.0000 3.6054 7.5713
```

=====

[3]
VASP calculation (PBE-GGA) on a geometry-optimized Pu2HfS4 structure. Values from VASP.

Output
volume: 310.63 Å³ per cell
energy relative to the elements, uncorrected: -1024 kJ/mol of formula units

```
&SYSTEM
  ibrav = 0, nat = 14, ntyp = 3
/
ATOMIC_SPECIES
S 32.06 S.upf
Pu 244.00 Pu.upf
Hf 178.49 Hf.upf
CELL_PARAMETERS angstrom
-1.8476 2.7168 -1.5641
-4.3127 -5.2364 0.2316
-4.1479 3.9353 11.7354
ATOMIC_POSITIONS angstrom
S -1.1278 0.9165 2.9243
S -4.8609 0.8032 7.1371
S -9.1803 0.4992 7.4787
Pu -1.7009 -0.7313 0.7390
Hf -5.4424 3.2674 7.8716
S -4.4382 -0.3448 0.4109
Pu -3.1493 0.6429 4.8369
S -2.9977 3.3261 5.0857
Pu -8.6073 2.1470 9.6640
S -5.4473 0.6126 3.2658
Hf -4.8658 -1.8517 2.5314
Pu -7.1589 0.7729 5.5661
S -5.8699 1.7606 9.9920
S -0.9238 1.3584 -0.7820
```

=====

[4]
VASP calculation (PBE-GGA) on a geometry-optimized Mg3Cd3Hg2 structure. Values from VASP.

Output
volume: 179.33 Å³ per cell
ΔE_f: -0.08 eV per atom
energy relative to the lowest polymorph listed for this composition: 37 meV/atom

```
&SYSTEM
  ibrav = 0, nat = 8, ntyp = 3
/
ATOMIC_SPECIES
Hg 200.59 Hg.upf
Mg 24.30 Mg.upf
Cd 112.41 Cd.upf
CELL_PARAMETERS angstrom
-1.1545 4.8867 -1.8653
-4.7436 -0.0395 2.8323
5.7487 0.0576 4.2838
ATOMIC_POSITIONS angstrom
Hg -1.5273 3.6950 2.9343
Mg 1.4741 4.2707 2.5850
Mg -1.6235 0.6340 2.6657
Mg 0.0000 0.0000 0.0000
Cd 0.0971 3.0539 0.2495
Cd -0.2465 1.8508 5.0012
Cd -2.9490 2.4236 0.4835
Hg 1.3779 1.2098 2.3164
```

=====

Repeat the second record exactly.
VASP calculation (PBE-GGA) on a geometry-optimized Ac3Sb2Rh4 structure. Values from VASP.

Output
volume: 221.25 Å³ per cell
energy relative to the elements, uncorrected: -671 kJ/mol of formula units
energy relative to the lowest polymorph listed for this composition: 0 meV/atom

```
&SYSTEM
  ibrav = 0, nat = 9, ntyp = 3
/
ATOMIC_SPECIES
Ac 227.00 Ac.upf
Sb 121.76 Sb.upf
Rh 102.91 Rh.upf
CELL_PARAMETERS angstrom
4.5413 0.0000 0.0000
-2.2706 5.3398 -1.1239
0.0000 0.7234 8.9715
ATOMIC_POSITIONS angstrom
Ac 0.0000 4.4791 4.6977
Ac 0.0000 0.0000 0.0000
Sb 0.0000 3.6032 1.1932
Rh 2.2706 2.4578 0.2764
Rh 0.0000 1.3885 5.4964
Rh 2.2706 4.6747 2.3513
Ac 2.2706 1.5841 3.1500
Sb 2.2706 2.4601 6.6545
Rh 0.0000 3.6054 7.5713
```